Below is crystalline CaVCo2 at its relaxed geometry, with properties calculated at the PBE level.

Unit cell a=5.594 b=5.594 c=5.594 alpha=105.47 beta=105.47 gamma=117.82
Sites, in units of the cell vectors:
Ca (0.000, 0.000, 0.000)
Ca (0.750, 0.250, 0.500)
V (0.250, 0.750, 0.500)
V (0.500, 0.500, 0.000)
Co (0.189, 0.125, 0.564)
Co (0.375, 0.811, 0.936)
Co (0.561, 0.625, 0.436)
Co (0.875, 0.439, 0.064)

Computed properties:
* calculated density: 5.232 g/cm3
* energy: -5.813 eV per atom
* calculated formation energy: 520.1 meV/atom